(1)
The following is a DFT calculation (PBE) of crystalline CaTlGe at its relaxed geometry.

Values from the calculation:
* total magnetization: 0.00 μB/f.u.
* formation energy from the elements: -0.30 eV/atom

abc: 3.920 5.653 8.239
angles: 106.10 90.51 110.12
Fractional positions:
Ge1 0.894 0.903 0.122
Tl1 0.388 0.885 0.833
Ca1 0.167 0.445 0.072
Ge2 0.541 0.191 0.297
Ca2 0.866 0.839 0.471
Tl2 0.632 0.373 0.683

---

(2)
The following is a DFT calculation (PBE) of crystalline CaTlGe at its relaxed geometry.

Values from the calculation:
* total magnetization: 0.00 μB/f.u.
* formation energy from the elements: -0.26 eV/atom

abc: 5.376 3.604 8.508
angles: 90.00 108.24 90.00
Fractional positions:
Tl1 0.844 0.000 0.253
Tl2 0.333 0.500 0.254
Ge1 0.834 0.500 0.935
Ge2 0.156 0.500 0.572
Ca1 0.321 0.000 0.908
Ca2 0.668 0.000 0.600

---

(3)
The following is a DFT calculation (PBE) of crystalline CaTl2Ge2 at its relaxed geometry.

Values from the calculation:
* total magnetization: 0.00 μB/f.u.
* formation energy from the elements: 0.05 eV/atom

abc: 8.476 8.476 3.668
angles: 90.00 90.00 90.00
Fractional positions:
Tl1 0.132 0.368 0.000
Tl2 0.868 0.632 0.000
Ge1 0.166 0.666 0.500
Tl3 0.368 0.868 0.000
Ge2 0.334 0.166 0.500
Ca1 0.000 0.000 0.000
Ge3 0.834 0.334 0.500
Ca2 0.500 0.500 0.000
Tl4 0.632 0.132 0.000
Ge4 0.666 0.834 0.500

---

(4)
The following is a DFT calculation (PBE) of crystalline CaTlGe at its relaxed geometry.

Values from the calculation:
* total magnetization: 0.00 μB/f.u.
* formation energy from the elements: -0.33 eV/atom

abc: 4.416 6.129 6.836
angles: 86.32 71.26 69.03
Fractional positions:
Ca1 0.446 0.782 0.824
Tl1 0.170 0.737 0.423
Ge1 0.152 0.326 0.871
Tl2 0.830 0.263 0.577
Ge2 0.848 0.674 0.129
Ca2 0.554 0.218 0.176

---

(5)
The following is a DFT calculation (PBE) of crystalline CaTlGe at its relaxed geometry.

Values from the calculation:
* total magnetization: 0.00 μB/f.u.
* formation energy from the elements: -0.28 eV/atom

abc: 7.276 4.017 11.380
angles: 90.00 99.13 90.00
Fractional positions:
Ge1 0.215 0.000 0.286
Ca1 0.933 0.000 0.841
Ge2 0.215 0.500 0.786
Ge3 0.395 0.500 0.409
Tl1 0.595 0.500 0.743
Ca2 0.262 0.000 0.585
Ca3 0.933 0.500 0.341
Tl2 0.595 0.000 0.243
Tl3 0.757 0.500 0.041
Ge4 0.395 0.000 0.909
Tl4 0.757 0.000 0.541
Ca4 0.262 0.500 0.085

---

(6)
The following is a DFT calculation (PBE) of crystalline Ca5Tl2Ge2 at its relaxed geometry.

Values from the calculation:
* total magnetization: 0.00 μB/f.u.
* formation energy from the elements: -0.50 eV/atom

abc: 7.803 7.771 9.446
angles: 90.00 65.60 90.00
Fractional positions:
Ge1 0.383 0.882 0.000
Ca1 0.500 0.500 0.000
Ge2 0.617 0.118 0.000
Ca2 0.056 0.677 0.246
Tl1 0.280 0.500 0.440
Ca3 0.698 0.323 0.246
Ca4 0.198 0.177 0.246
Tl2 0.780 0.000 0.440
Ca5 0.302 0.677 0.754
Ca6 0.802 0.823 0.754
Tl3 0.720 0.500 0.560
Ge3 0.117 0.382 0.000
Tl4 0.220 0.000 0.560
Ge4 0.883 0.618 0.000
Ca7 0.556 0.823 0.246
Ca8 0.444 0.177 0.754
Ca9 0.944 0.323 0.754
Ca10 0.000 0.000 0.000

---

(7)
The following is a DFT calculation (PBE) of crystalline Ca8Tl2Ge at its relaxed geometry.

Values from the calculation:
* total magnetization: 0.00 μB/f.u.
* formation energy from the elements: -0.34 eV/atom

abc: 5.426 7.448 9.794
angles: 109.31 106.08 90.00
Fractional positions:
Ca1 0.795 0.703 0.591
Ca2 0.205 0.297 0.409
Ca3 0.405 0.567 0.810
Ca4 0.595 0.433 0.190
Ge1 0.500 0.000 0.000
Ca5 0.977 0.212 0.954
Ca6 0.659 0.952 0.318
Ca7 0.023 0.788 0.046
Tl1 0.179 0.697 0.357
Tl2 0.821 0.303 0.643
Ca8 0.341 0.048 0.682

---

(8)
The following is a DFT calculation (PBE) of crystalline Ca2TlGe at its relaxed geometry.

Values from the calculation:
* total magnetization: 0.00 μB/f.u.
* formation energy from the elements: -0.47 eV/atom

abc: 3.766 3.766 7.542
angles: 90.00 90.00 90.00
Fractional positions:
Ca1 0.000 0.000 0.229
Ge1 0.500 0.500 0.000
Ca2 0.000 0.000 0.771
Tl1 0.500 0.500 0.500

---

(9)
The following is a DFT calculation (PBE) of crystalline Ca5Tl4Ge at its relaxed geometry.

Values from the calculation:
* total magnetization: 0.00 μB/f.u.
* formation energy from the elements: -0.45 eV/atom

abc: 3.854 3.854 19.192
angles: 90.00 90.00 90.00
Fractional positions:
Ca1 0.500 0.500 0.911
Tl1 0.000 0.000 0.397
Ca2 0.500 0.500 0.500
Ge1 0.000 0.000 0.000
Tl2 0.000 0.000 0.603
Ca3 0.500 0.500 0.295
Tl3 0.000 0.000 0.806
Ca4 0.500 0.500 0.089
Ca5 0.500 0.500 0.705
Tl4 0.000 0.000 0.194

---

(10)
The following is a DFT calculation (PBE) of crystalline Ca4TlGe at its relaxed geometry.

Values from the calculation:
* total magnetization: 0.00 μB/f.u.
* formation energy from the elements: -0.44 eV/atom

abc: 6.204 8.434 8.434
angles: 112.81 101.77 101.77
Fractional positions:
Ca1 0.436 0.710 0.057
Ca2 0.839 0.636 0.780
Tl1 0.750 0.633 0.367
Ca3 0.564 0.290 0.943
Ge1 0.250 0.997 0.003
Ca4 0.064 0.943 0.290
Tl2 0.250 0.367 0.633
Ca5 0.936 0.057 0.710
Ca6 0.661 0.220 0.364
Ge2 0.750 0.003 0.997
Ca7 0.339 0.780 0.636
Ca8 0.161 0.364 0.220

---

(11)
The following is a DFT calculation (PBE) of crystalline CaTl2Ge2 at its relaxed geometry.

Values from the calculation:
* total magnetization: 0.00 μB/f.u.
* formation energy from the elements: -0.07 eV/atom

abc: 7.738 7.738 4.428
angles: 90.00 90.00 90.00
Fractional positions:
Tl1 0.177 0.677 0.500
Ca1 0.500 0.500 0.000
Ge1 0.115 0.385 0.000
Tl2 0.677 0.823 0.500
Tl3 0.823 0.323 0.500
Ge2 0.885 0.615 0.000
Ca2 0.000 0.000 0.000
Ge3 0.385 0.885 0.000
Ge4 0.615 0.115 0.000
Tl4 0.323 0.177 0.500

---

(12)
The following is a DFT calculation (PBE) of crystalline CaTlGe at its relaxed geometry.

Values from the calculation:
* total magnetization: 0.00 μB/f.u.
* formation energy from the elements: -0.35 eV/atom

abc: 5.649 3.942 14.548
angles: 90.00 97.11 90.00
Fractional positions:
Tl1 0.784 0.000 0.064
Tl2 0.216 0.500 0.436
Ca1 0.664 0.500 0.866
Ca2 0.664 0.000 0.366
Tl3 0.784 0.500 0.564
Ca3 0.336 0.000 0.634
Ge1 0.855 0.500 0.231
Ge2 0.145 0.000 0.269
Ca4 0.336 0.500 0.134
Ge3 0.855 0.000 0.731
Tl4 0.216 0.000 0.936
Ge4 0.145 0.500 0.769